(1)
Density functional theory data (PBE) for Rb2DyAs2S6 after structural relaxation.

Results
ΔE_f (raw) in eV/atom: -0.8293
E_tot in eV/atom: -4.520

Cell lengths 7.143, 7.011, 8.484 Å; angles 113.87, 90.00, 120.62 degrees
Fractional coordinates of all 11 atoms:
As1 0.051 0.102 0.193
As2 0.949 0.898 0.807
Rb1 0.704 0.408 0.183
Rb2 0.296 0.592 0.817
S1 0.301 0.093 0.777
S2 0.793 0.093 0.777
S3 0.699 0.907 0.223
S4 0.207 0.907 0.223
S5 0.747 0.494 0.601
S6 0.253 0.506 0.399
Dy1 0.500 0.000 0.500

---

(2)
Density functional theory data (PBE) for Rb3LaCl after structural relaxation.

Results
ΔE_f (raw) in eV/atom: -0.0193
Polymorph energy (0 for the lowest one) in meV per atom: 0
E_tot in eV/atom: -1.955

Cell lengths 5.872, 5.872, 5.872 Å; angles 90.00, 90.00, 90.00 degrees
Fractional coordinates of all 5 atoms:
Rb1 0.000 0.000 0.500
Rb2 0.500 0.000 0.000
Rb3 0.000 0.500 0.000
La1 0.500 0.500 0.500
Cl1 0.000 0.000 0.000

---

(3)
Density functional theory data (PBE) for GaP2Se6 after structural relaxation.

Results
ΔE_f (raw) in eV/atom: -0.0600
E_tot in eV/atom: -3.922

Cell lengths 5.996, 9.458, 9.458 Å; angles 92.86, 74.56, 74.56 degrees
Fractional coordinates of all 18 atoms:
P1 0.801 0.370 0.199
P2 0.699 0.801 0.630
P3 0.301 0.199 0.370
P4 0.199 0.630 0.801
Se1 0.103 0.804 0.995
Se2 0.919 0.836 0.407
Se3 0.907 0.576 0.721
Se4 0.093 0.424 0.279
Se5 0.397 0.005 0.196
Se6 0.407 0.721 0.576
Se7 0.897 0.196 0.005
Se8 0.419 0.407 0.836
Se9 0.581 0.593 0.164
Se10 0.593 0.279 0.424
Se11 0.081 0.164 0.593
Se12 0.603 0.995 0.804
Ga1 0.750 0.795 0.205
Ga2 0.250 0.205 0.795

---

(4)
Density functional theory data (PBE) for CsI2NO after structural relaxation.

Results
ΔE_f (raw) in eV/atom: 1.3023
Polymorph energy (0 for the lowest one) in meV per atom: 694
E_tot in eV/atom: -2.145

Cell lengths 7.495, 7.495, 6.817 Å; angles 90.00, 90.00, 90.00 degrees
Each line ends with the local moment (μB).
Fractional coordinates of all 5 atoms:
N1 0.000 0.000 0.500  1.93
O1 0.500 0.500 0.500  1.51
I1 0.500 0.000 0.000  0.33
I2 0.000 0.500 0.000  0.33
Cs1 0.000 0.000 0.000  0.01

---

Question: Which formula does entry 3 have?
Answer: GaP2Se6